# MgCrSe2O8

An optimized crystal structure of MgCrSe2O8 (GGA+U, Alexandria via LeMat-Bulk).

Values from the calculation:
As for the total DFT energy (no corrections): -5.7139 eV/atom. As for the crystal system: trigonal.

a = 5.4803 Å, b = 5.4803 Å, c = 6.1202 Å
α = 90.00°, β = 90.00°, γ = 120.00°
Space group P-3m1 (No. 164)
Symmetry-distinct sites (fractional):
Mg1 0.0000 0.0000 0.0000 [1 per cell]
Cr1 0.0000 0.0000 0.5000 [1 per cell]
Se1 0.3333 0.6667 0.3151 [2 per cell]
O1 0.1616 0.3232 0.2339 [6 per cell]
O2 0.3333 0.6667 0.5809 [2 per cell]